A relaxed structure of NiIrSCl2, computed with PBE-GGA.

Calculated values
* E above lowest polymorph: 1.125 eV per formula unit
* formation energy (no corrections): 869 meV/atom
* symmetry: P4/mmm, No. 123
* DFT total energy: -18.120 eV per cell

```
NiIrSCl2
1.0
-4.007 -1.587 0.814
1.080 -3.753 -1.997
1.534 -1.755 4.129
Ir Cl S Ni
1 2 1 1
Cartesian
-0.697 -3.548 1.473 Ir
0.540 -1.877 -0.998 Cl
-2.004 -0.793 0.407 Cl
0.767 -0.878 2.064 S
0.000 0.000 0.000 Ni
```

---

A relaxed structure of Y2TmNi2, computed with PBE-GGA.

Calculated values
* E above lowest polymorph: 0.000 eV per formula unit
* ΔH_f (0 K): -0.338 eV per atom
* symmetry: C2/c, No. 15
* DFT total energy: -61.303 eV per cell

```
Y2TmNi2
1.0
5.810 0.000 0.000
-2.905 5.494 -0.822
0.000 -0.334 7.153
Y Ni Tm
4 4 2
Cartesian
-0.636 3.658 1.921 Y
0.636 3.491 5.497 Y
3.541 1.502 4.410 Y
2.270 1.669 0.834 Y
0.823 1.578 3.381 Ni
3.728 3.415 6.527 Ni
2.083 3.582 2.950 Ni
-0.823 1.745 -0.196 Ni
0.523 -0.250 5.364 Tm
5.287 -0.083 1.788 Tm
```

---

A relaxed structure of CaCePN, computed with PBE-GGA.

Calculated values
* formation energy (no corrections): -1225 meV/atom
* symmetry: R3m, No. 160
* DFT total energy: -26.569 eV per cell

```
CaCePN
1.0
3.817 0.000 0.000
1.908 3.305 0.000
1.908 1.102 6.321
P Ca Ce N
1 1 1 1
Cartesian
5.725 3.305 4.820 P
3.817 2.204 3.055 Ca
5.725 3.305 0.283 Ce
1.908 1.102 1.323 N
```

---

A relaxed structure of Sm2TlGe, computed with PBE-GGA.

Calculated values
* ΔH_f (0 K): -0.501 eV per atom
* symmetry: R-3m, No. 166
* DFT total energy: -18.425 eV per cell

```
Sm2TlGe
1.0
4.237 0.000 0.000
2.119 3.669 0.000
2.119 1.223 7.747
Sm Ge Tl
2 1 1
Cartesian
2.119 1.223 1.608 Sm
6.356 3.669 6.139 Sm
0.000 0.000 0.000 Ge
4.237 2.446 3.874 Tl
```